1.
Entry from the Alexandria database: a relaxed Pr4TePb3 crystal (PBE-GGA).

a b c (Å): 4.478 8.022 8.022
angles (deg): 72.02 90.01 90.01
Atoms (fractional coordinates):
Pb: 0.000 0.000 0.000
Te: 0.500 0.500 0.000
Pr: 0.500 0.748 0.248
Pb: 0.500 0.000 0.500
Pr: 0.500 0.252 0.752
Pb: 0.000 0.500 0.500
Pr: 0.000 0.253 0.247
Pr: 0.000 0.748 0.753

Formation energy (no corrections): -577 kJ/mol of formula units
VASP energy: -39.36 eV for the cell shown
SG: No. 65

***

2.
Entry from the Alexandria database: a relaxed CoRuRh2Se crystal (PBE-GGA).

a b c (Å): 4.517 4.270 4.517
angles (deg): 90.00 90.00 90.00
Atoms (fractional coordinates):
Se: 0.000 0.500 0.000
Rh: 0.000 0.000 0.500
Co: 0.000 0.000 0.000
Rh: 0.500 0.000 0.000
Ru: 0.500 0.500 0.500

Formation energy (no corrections): 590 kJ/mol of formula units
VASP energy: -28.46 eV for the cell shown
SG: No. 123

***

3.
Entry from the Alexandria database: a relaxed LaGd2P crystal (PBE-GGA).

a b c (Å): 3.854 3.854 9.866
angles (deg): 78.74 78.74 60.00
Atoms (fractional coordinates):
P: 0.500 0.500 0.500
La: 0.000 0.000 0.000
Gd: 0.225 0.225 0.326
Gd: 0.775 0.775 0.674

Energy of formation: -702 meV/atom
VASP energy: -41.31 eV for the cell shown
SG: No. 166

***

4.
Entry from the Alexandria database: a relaxed Tb2PrTaN4 crystal (PBE-GGA).

a b c (Å): 3.437 6.299 12.181
angles (deg): 90.00 90.00 105.83
Atoms (fractional coordinates):
Ta: 0.164 0.328 0.250
Pr: 0.096 0.192 0.750
Pr: 0.904 0.808 0.250
N: 0.565 0.129 0.250
N: 0.740 0.480 0.622
Tb: 0.371 0.742 0.966
Tb: 0.629 0.258 0.034
N: 0.000 0.000 0.000
N: 0.000 0.000 0.500
Tb: 0.629 0.258 0.466
Tb: 0.371 0.742 0.534
N: 0.740 0.480 0.878
N: 0.260 0.520 0.378
N: 0.260 0.520 0.122
Ta: 0.836 0.672 0.750
N: 0.435 0.871 0.750

Formation energy (no corrections): -982 kJ/mol of formula units
VASP energy: -138.74 eV for the cell shown
SG: No. 63

***

5.
Entry from the Alexandria database: a relaxed BaSnAuF2 crystal (PBE-GGA).

a b c (Å): 4.891 5.974 4.891
angles (deg): 90.00 90.00 90.00
Atoms (fractional coordinates):
Sn: 0.500 0.500 0.500
F: 0.500 0.000 0.000
F: 0.000 0.000 0.500
Ba: 0.000 0.500 0.000
Au: 0.000 0.000 0.000

Formation energy (no corrections): -292 kJ/mol of formula units
VASP energy: -15.97 eV for the cell shown
Energy above the lowest structure with this stoichiometry: 945 meV per atom
SG: No. 123

***

6.
Entry from the Alexandria database: a relaxed CuSN2O crystal (PBE-GGA).

a b c (Å): 3.243 3.243 4.680
angles (deg): 90.00 90.00 90.00
Atoms (fractional coordinates):
O: 0.000 0.000 0.500
N: 0.500 0.000 0.000
N: 0.000 0.500 0.000
S: 0.000 0.000 0.000
Cu: 0.500 0.500 0.500

Formation energy (no corrections): 653 kJ/mol of formula units
VASP energy: -23.07 eV for the cell shown
SG: No. 123